First-principles (GGA-PBE) data for crystalline CuSnPC at its relaxed geometry, as listed in Alexandria.

Cell: 2.941 5.178 5.344 Å, 116.55 90.13 106.47°
Space group P1 (No. 1)
Asymmetric unit:
Cu 0.000 0.000 0.000 [1 per cell]
Sn 0.551 0.106 0.554 [1 per cell]
P 0.248 0.494 0.106 [1 per cell]
C 0.797 0.593 0.969 [1 per cell]

Values from the calculation:
N(E_F)   1.0 states/eV/f.u.
DFT total energy   -5.22 eV/atom